Computed, not measured: Tb2MgBe2Pd5 after structural relaxation at the PBE level of DFT.

ΔE_f: -17.39 kcal/mol of atoms

Lattice parameters (Å, degrees): 9.7245 9.7245 3.4751 90.00 90.00 90.00
Last column: nearest neighbours and their distance in Å.
Space group P4/mbm (No. 127)
Inequivalent atoms, fractional coordinates:
Tb1 0.1776 0.3224 0.0000 (multiplicity 4)  3 Be 2.80-2.94, 10 Pd 3.00-3.13
Mg1 0.0000 0.0000 0.0000 (multiplicity 2)  8 Pd 2.82
Be1 0.1188 0.6188 0.0000 (multiplicity 4)  6 Pd 2.39-2.40
Pd1 0.0000 0.5000 0.5000 (multiplicity 2)  4 Be 2.39
Pd2 0.0685 0.7815 0.5000 (multiplicity 8)  2 Be 2.40